Computed, not measured: V2HBr after structural relaxation at the PBE level of DFT.

Cell: 5.8893 5.8893 5.8893 Å, 90.00 90.00 90.00°
Last column: nearest neighbours and their distance in Å.
Space group Fm-3m (No. 225)
One atom of each set of equivalent atoms:
1 V 0.2500 0.2500 0.2500 (multiplicity 8)  4 H 2.55, 4 Br 2.55
2 H 0.0000 0.0000 0.0000 (multiplicity 4)  8 V 2.55
3 Br 0.0000 0.0000 0.5000 (multiplicity 4)  8 V 2.55

Computed properties:
VASP energy = -4.996 eV/atom
V = 204.3 Å³/cell

Computed, not measured: Hf2Zr3Ir2 after structural relaxation at the PBE level of DFT.

Cell: 11.2912 3.3605 8.4186 Å, 90.00 113.68 90.00°
Last column: nearest neighbours and their distance in Å.
Space group C2/m (No. 12)
One atom of each set of equivalent atoms:
1 Hf 0.1587 0.0000 0.3250 (multiplicity 4)  2 Ir 2.71
2 Zr 0.0000 0.5000 0.5000 (multiplicity 2)  4 Ir 2.73
3 Zr 0.1120 0.5000 0.9449 (multiplicity 4)  3 Ir 2.74-2.81, 1 Zr 3.02
4 Ir 0.1742 0.0000 0.7333 (multiplicity 4)  2 Hf 2.71, 5 Zr 2.73-2.81

Computed properties:
VASP energy = -9.559 eV/atom
V = 292.5 Å³/cell
Formation energy from the elements = -0.520 eV/atom

Computed, not measured: Th2Tc after structural relaxation at the PBE level of DFT.

Cell: 12.0138 3.9013 8.4582 Å, 90.00 126.27 90.00°
Last column: nearest neighbours and their distance in Å.
Space group C2/m (No. 12)
One atom of each set of equivalent atoms:
1 Th 0.0789 0.0000 0.3637 (multiplicity 4)  2 Tc 2.89
2 Th 0.1729 0.5000 0.0846 (multiplicity 4)  2 Tc 2.76
3 Tc 0.1473 0.5000 0.6601 (multiplicity 4)  4 Th 2.76-2.89, 1 Tc 2.92

Computed properties:
VASP energy = -8.541 eV/atom
V = 319.6 Å³/cell
Formation energy from the elements = -0.139 eV/atom

Computed, not measured: RbTmAgI6 after structural relaxation at the PBE level of DFT.

Cell: 7.5442 7.6675 8.0069 Å, 93.55 95.49 112.25°
Last column: nearest neighbours and their distance in Å.
Space group P1 (No. 1)
One atom of each set of equivalent atoms:
1 Rb 0.0000 0.0000 0.0000 (multiplicity 1)  6 I 3.75-3.82
2 Tm 0.3745 0.6587 0.5057 (multiplicity 1)  6 I 2.89-3.08
3 Ag 0.7508 0.3432 0.4592 (multiplicity 1)  5 I 2.83-3.10
4 I 0.0439 0.6050 0.2456 (multiplicity 1)  1 Tm 2.97, 1 Ag 3.10
5 I 0.0789 0.3383 0.6595 (multiplicity 1)  1 Ag 2.83, 1 Tm 3.05
6 I 0.3955 0.9470 0.7664 (multiplicity 1)  1 Tm 2.89
7 I 0.4491 0.3863 0.2487 (multiplicity 1)  1 Ag 2.83, 1 Tm 3.08
8 I 0.6460 0.9579 0.3169 (multiplicity 1)  1 Ag 2.88, 1 Tm 3.03
9 I 0.6668 0.5635 0.7236 (multiplicity 1)  1 Ag 2.89, 1 Tm 3.01

Computed properties:
VASP energy = -2.903 eV/atom
Formation energy from raw total energies = -948 meV per atom
V = 424.3 Å³/cell

Computed, not measured: TcAsRh after structural relaxation at the PBE level of DFT.

Cell: 4.2183 4.2183 2.9031 Å, 90.00 90.00 120.00°
Last column: nearest neighbours and their distance in Å.
Space group P3m1 (No. 156)
One atom of each set of equivalent atoms:
1 Tc 0.0000 0.0000 0.0000 (multiplicity 1)  3 As 2.52
2 As 0.3333 0.6667 0.2181 (multiplicity 1)  3 Tc 2.52, 3 Rh 2.57
3 Rh 0.6667 0.3333 0.4994 (multiplicity 1)  3 As 2.57, 6 Tc 2.83-2.84

Computed properties:
VASP energy = -7.465 eV/atom
V = 44.7 Å³/cell
Formation energy from the elements = -0.009 eV/atom

Computed, not measured: CaReI2O after structural relaxation at the PBE level of DFT.

Cell: 6.1060 6.1060 4.1525 Å, 90.00 90.00 90.00°
Last column: nearest neighbours and their distance in Å.
Space group P4/mmm (No. 123)
One atom of each set of equivalent atoms:
1 Ca 0.0000 0.0000 0.0000 (multiplicity 1)  2 O 2.08
2 Re 0.5000 0.5000 0.5000 (multiplicity 1)  8 I 3.69
3 I 0.0000 0.5000 0.0000 (multiplicity 2)  2 Ca 3.05
4 O 0.0000 0.0000 0.5000 (multiplicity 1)  2 Ca 2.08

Computed properties:
VASP energy = -4.073 eV/atom
Formation energy from raw total energies = 429 meV per atom
V = 154.8 Å³/cell

Computed, not measured: HgBiSbIr2 after structural relaxation at the PBE level of DFT.

Cell: 4.8989 4.8989 5.9226 Å, 90.00 90.00 90.00°
Last column: nearest neighbours and their distance in Å.
Space group P4/mmm (No. 123)
One atom of each set of equivalent atoms:
1 Hg 0.0000 0.0000 0.0000 (multiplicity 1)  4 Bi 3.46, 8 Ir 3.84
2 Bi 0.5000 0.5000 0.0000 (multiplicity 1)  2 Sb 2.96
3 Sb 0.5000 0.5000 0.5000 (multiplicity 1)  4 Ir 2.45
4 Ir 0.0000 0.5000 0.5000 (multiplicity 2)  2 Sb 2.45

Computed properties:
VASP energy = -3.896 eV/atom
Formation energy from raw total energies = 1309 meV per atom
V = 142.1 Å³/cell

Computed, not measured: TlCoS2N after structural relaxation at the PBE level of DFT.

Cell: 4.8693 4.8693 3.4495 Å, 90.00 90.00 90.00°
Last column: nearest neighbours and their distance in Å.
Space group P4/mmm (No. 123)
One atom of each set of equivalent atoms:
1 Tl 0.0000 0.0000 0.0000 (multiplicity 1)  8 S 2.98
2 Co 0.5000 0.5000 0.5000 (multiplicity 1)  2 N 1.72
3 S 0.0000 0.5000 0.5000 (multiplicity 2)  2 Co 2.43
4 N 0.5000 0.5000 0.0000 (multiplicity 1)  2 Co 1.72

Computed properties:
VASP energy = -4.852 eV/atom
Formation energy from raw total energies = 358 meV per atom
V = 81.8 Å³/cell